TlCd2In: PBEsol geometry, SCAN.

The structure in CIF format:
```
data_TlCd2In
_cell_length_a 3.1559
_cell_length_b 5.5331
_cell_length_c 11.1672
_cell_angle_alpha 90.00
_cell_angle_beta 90.00
_cell_angle_gamma 90.00
_space_group_name_H-M_alt 'I m m m'
_space_group_IT_number 71
_space_group_name_Hall '-I 2 2'
loop_
_atom_site_label
_atom_site_fract_x
_atom_site_fract_y
_atom_site_fract_z
_atom_site_occupancy
Tl1 0.0000 0.0000 0.0000 1
Cd1 0.0000 0.5000 0.2444 1
In1 0.0000 0.0000 0.5000 1
```

Output
- E above lowest polymorph (meV/atom) = 44.4
- ΔE_f (meV/atom) = 98